HfScAs3 | PBE | optimized geometry

Cell and atoms, written as POSCAR:
```
HfScAs3
1.0
5.088 0.000 0.000
0.000 5.088 0.000
0.000 0.000 5.088
Hf Sc As
1 1 3
Direct
0.000 0.000 0.000
0.500 0.500 0.500
0.000 0.000 0.500
0.000 0.500 0.000
0.500 0.000 0.000
```

Properties
Energy relative to the lowest polymorph listed for this composition ... 0 meV/atom
ΔE_f ... -0.028 eV per atom
Crystal system ... cubic


Ti2SnRh | PBE | optimized geometry

Cell and atoms, written as POSCAR:
```
Ti2SnRh
1.0
-1.951 1.951 9.665
1.951 -1.951 9.665
1.951 1.951 -9.665
Ti Sn Rh
4 2 2
Direct
0.122 0.625 0.997
0.375 0.372 0.497
0.628 0.125 0.003
0.875 0.878 0.503
0.000 0.000 0.000
0.750 0.250 0.500
0.250 0.750 0.500
0.500 0.500 0.000
```

Properties
ΔE_f ... 0.026 eV per atom
Crystal system ... tetragonal


In2Ni3As2 | PBE | optimized geometry

Cell and atoms, written as POSCAR:
```
In2Ni3As2
1.0
2.651 1.531 4.878
-2.651 1.531 4.878
0.000 -3.061 4.878
In Ni As
2 3 2
Direct
0.000 0.000 0.000
0.500 0.500 0.500
0.000 0.500 0.500
0.500 0.000 0.500
0.500 0.500 0.000
0.212 0.212 0.212
0.788 0.788 0.788
```

Properties
ΔE_f ... -0.177 eV per atom
Crystal system ... trigonal


DyHo3Tm5 | PBE | optimized geometry

Cell and atoms, written as POSCAR:
```
DyHo3Tm5
1.0
7.505 -5.595 0.000
7.505 5.595 0.000
-6.411 0.000 7.488
Dy Ho Tm
2 6 10
Direct
0.249 0.249 0.102
0.751 0.751 0.898
0.000 0.000 0.000
0.010 0.010 0.312
0.477 0.477 0.134
0.500 0.500 0.500
0.523 0.523 0.866
0.990 0.990 0.688
0.098 0.600 0.750
0.219 0.219 0.729
0.239 0.761 0.500
0.278 0.278 0.464
0.400 0.902 0.250
0.600 0.098 0.750
0.722 0.722 0.536
0.761 0.239 0.500
0.781 0.781 0.271
0.902 0.400 0.250
```

Properties
Energy relative to the lowest polymorph listed for this composition ... 301 meV/atom
ΔE_f ... 0.537 eV per atom
Crystal system ... monoclinic


RbTbBr4 | PBE | optimized geometry

Cell and atoms, written as POSCAR:
```
RbTbBr4
1.0
5.315 -5.513 0.000
5.315 5.513 0.000
0.000 0.000 4.384
Rb Tb Br
1 1 4
Direct
0.000 0.000 0.000
0.500 0.500 0.500
0.241 0.241 0.500
0.329 0.671 0.000
0.671 0.329 0.000
0.759 0.759 0.500
```

Properties
Energy relative to the lowest polymorph listed for this composition ... 45 meV/atom
Formation energy without anion corrections ... -1.82 eV/atom
Crystal system ... orthorhombic


BaRe2Cl | PBE | optimized geometry

Cell and atoms, written as POSCAR:
```
BaRe2Cl
1.0
1.487 0.859 10.227
-1.487 0.859 10.227
0.000 -1.717 10.227
Ba Re Cl
1 2 1
Direct
0.000 0.000 0.000
0.234 0.234 0.234
0.766 0.766 0.766
0.500 0.500 0.500
```

Properties
Energy relative to the lowest polymorph listed for this composition ... 1396 meV/atom
Formation energy without anion corrections ... 1.51 eV/atom
Crystal system ... trigonal


Ba3NbPb | PBE | optimized geometry

Cell and atoms, written as POSCAR:
```
Ba3NbPb
1.0
6.006 0.000 0.000
0.000 6.006 0.000
0.000 0.000 6.006
Ba Nb Pb
3 1 1
Direct
0.000 0.000 0.500
0.000 0.500 0.000
0.500 0.000 0.000
0.000 0.000 0.000
0.500 0.500 0.500
```

Properties
Energy relative to the lowest polymorph listed for this composition ... 0 meV/atom
ΔE_f ... 0.625 eV per atom
Crystal system ... cubic


In6Ag6Sn | PBE | optimized geometry

Cell and atoms, written as POSCAR:
```
In6Ag6Sn
1.0
-2.923 4.898 5.012
2.923 -4.898 5.012
2.923 4.898 -5.012
In Ag Sn
6 6 1
Direct
0.152 0.500 0.652
0.164 0.164 0.000
0.327 0.827 0.500
0.673 0.173 0.500
0.836 0.836 0.000
0.848 0.500 0.348
0.000 0.000 0.500
0.000 0.500 0.000
0.253 0.000 0.253
0.500 0.000 0.000
0.500 0.500 0.500
0.747 0.000 0.747
0.500 0.500 0.000
```

Properties
ΔE_f ... -0.006 eV per atom
Crystal system ... orthorhombic


CaZnAs2 | PBE | optimized geometry

Cell and atoms, written as POSCAR:
```
CaZnAs2
1.0
2.992 0.000 0.000
0.000 2.992 0.000
0.000 0.000 10.010
Ca Zn As
1 1 2
Direct
0.000 0.000 0.000
0.500 0.500 0.235
0.000 0.000 0.423
0.500 0.500 0.780
```

Properties
ΔE_f ... -0.028 eV per atom
Crystal system ... tetragonal


NaErTe2S6 | PBE | optimized geometry

Cell and atoms, written as POSCAR:
```
NaErTe2S6
1.0
3.381 1.952 6.800
-3.381 1.952 6.800
0.000 -3.904 6.800
Na Er Te S
1 1 2 6
Direct
0.000 0.000 0.000
0.491 0.491 0.491
0.276 0.276 0.276
0.788 0.788 0.788
0.083 0.445 0.681
0.217 0.908 0.566
0.445 0.681 0.083
0.566 0.217 0.908
0.681 0.083 0.445
0.908 0.566 0.217
```

Properties
Formation energy without anion corrections ... -0.63 eV/atom
Crystal system ... trigonal


DyLuZn2 | PBE | optimized geometry

Cell and atoms, written as POSCAR:
```
DyLuZn2
1.0
4.971 0.000 0.000
0.000 4.971 0.000
0.000 0.000 3.566
Dy Lu Zn
1 1 2
Direct
0.000 0.000 0.000
0.500 0.500 0.000
0.000 0.500 0.500
0.500 0.000 0.500
```

Properties
ΔE_f ... -0.345 eV per atom
Crystal system ... tetragonal


SmFeGe2Ru | PBE | optimized geometry

Cell and atoms, written as POSCAR:
```
SmFeGe2Ru
1.0
-2.062 2.062 5.156
2.062 -2.062 5.156
2.062 2.062 -5.156
Sm Fe Ge Ru
1 1 2 1
Direct
0.000 0.000 0.000
0.750 0.250 0.500
0.373 0.373 0.000
0.627 0.627 0.000
0.250 0.750 0.500
```

Properties
ΔE_f ... -0.537 eV per atom
Crystal system ... tetragonal


ZrTl3I2Br6 | PBE | optimized geometry

Cell and atoms, written as POSCAR:
```
ZrTl3I2Br6
1.0
8.132 -4.407 0.000
8.132 4.407 0.000
-0.152 0.000 6.862
Zr Tl I Br
1 3 2 6
Direct
0.000 0.000 0.000
0.000 0.500 0.000
0.500 0.000 0.000
0.500 0.500 0.500
0.331 0.331 0.695
0.669 0.669 0.305
0.134 0.134 0.230
0.145 0.719 0.221
0.281 0.855 0.779
0.719 0.145 0.221
0.855 0.281 0.779
0.866 0.866 0.770
```

Properties
Formation energy without anion corrections ... -0.93 eV/atom
Crystal system ... monoclinic


LiSmPdRh | PBE | optimized geometry

Cell and atoms, written as POSCAR:
```
LiSmPdRh
1.0
0.000 3.310 3.310
3.310 0.000 3.310
3.310 3.310 0.000
Li Sm Pd Rh
1 1 1 1
Direct
0.000 0.000 0.000
0.500 0.500 0.500
0.250 0.250 0.250
0.750 0.750 0.750
```

Properties
ΔE_f ... -0.518 eV per atom
Crystal system ... cubic


La3Sm4TmTe8 | PBE | optimized geometry

Cell and atoms, written as POSCAR:
```
La3Sm4TmTe8
1.0
7.734 -4.496 0.000
7.734 4.496 0.000
-5.121 0.000 7.320
La Sm Tm Te
3 4 1 8
Direct
0.000 0.000 0.000
0.000 0.500 0.500
0.500 0.000 0.500
0.000 0.000 0.500
0.000 0.500 0.000
0.500 0.000 0.000
0.500 0.500 0.500
0.500 0.500 0.000
0.253 0.253 0.247
0.255 0.255 0.761
0.255 0.739 0.245
0.261 0.745 0.755
0.739 0.255 0.245
0.745 0.261 0.755
0.745 0.745 0.239
0.747 0.747 0.753
```

Properties
Formation energy without anion corrections ... -1.43 eV/atom
Crystal system ... monoclinic


Ni2S | PBE | optimized geometry

Cell and atoms, written as POSCAR:
```
Ni2S
1.0
-1.459 1.459 4.066
1.459 -1.459 4.066
1.459 1.459 -4.066
Ni S
2 1
Direct
0.154 0.154 0.000
0.846 0.846 0.000
0.500 0.500 0.000
```

Properties
Formation energy without anion corrections ... 0.07 eV/atom
Crystal system ... tetragonal


CaDyMgAl | PBE | optimized geometry

Cell and atoms, written as POSCAR:
```
CaDyMgAl
1.0
3.620 0.000 0.000
0.000 3.620 0.000
0.000 0.000 8.137
Ca Dy Mg Al
1 1 1 1
Direct
0.000 0.000 0.000
0.000 0.000 0.458
0.500 0.500 0.722
0.500 0.500 0.239
```

Properties
Energy relative to the lowest polymorph listed for this composition ... 4 meV/atom
ΔE_f ... -0.194 eV per atom
Crystal system ... tetragonal


AlCdReSe2 | PBE | optimized geometry

Cell and atoms, written as POSCAR:
```
AlCdReSe2
1.0
5.228 0.000 0.000
0.000 5.228 0.000
0.000 0.000 5.343
Al Cd Re Se
1 1 1 2
Direct
0.000 0.000 0.000
0.500 0.500 0.500
0.500 0.500 0.000
0.000 0.500 0.500
0.500 0.000 0.500
```

Properties
Formation energy without anion corrections ... 1.53 eV/atom
Crystal system ... tetragonal


SmMg5Sc | PBE | optimized geometry

Cell and atoms, written as POSCAR:
```
SmMg5Sc
1.0
3.035 -4.815 0.000
3.035 4.815 0.000
-2.313 0.000 6.289
Sm Mg Sc
1 5 1
Direct
0.000 0.000 0.000
0.000 0.000 0.500
0.097 0.521 0.764
0.479 0.903 0.236
0.521 0.097 0.764
0.903 0.479 0.236
0.500 0.500 0.500
```

Properties
ΔE_f ... 0.113 eV per atom
Crystal system ... monoclinic


CaLaTb2Sb4 | PBE | optimized geometry

Cell and atoms, written as POSCAR:
```
CaLaTb2Sb4
1.0
-3.175 3.175 6.351
3.175 -3.175 6.351
3.175 3.175 -6.351
Ca La Tb Sb
1 1 2 4
Direct
0.000 0.000 0.000
0.500 0.500 0.000
0.250 0.750 0.500
0.750 0.250 0.500
0.000 0.500 0.500
0.249 0.249 0.000
0.500 0.000 0.500
0.751 0.751 0.000
```

Properties
Formation energy without anion corrections ... -1.05 eV/atom
Crystal system ... tetragonal